First-principles (PBE-GGA) data for a geometry-optimized ScMnFe2 structure, as listed in the Alexandria database.

It has space group I4/mmm (No. 139), with a = 3.797 Å, b = 3.797 Å, c = 8.017 Å, α = 90.00°, β = 90.00° and γ = 90.00°. The inequivalent atoms are Sc at (0.000, 0.000, 0.000), Mn at (0.000, 0.000, 0.500) and Fe at (0.000, 0.500, 0.250).

The value obtained for the energy of formation from the pure elements is 0.153 eV per atom. For the theoretical density, the calculation gives 6.081 g/cm3. For the total magnetic moment, the calculation gives 1.961 μB per atom. The total energy is -7.954 eV per atom.

First-principles (PBE-GGA) data for a geometry-optimized Sc2MnFe structure, as listed in the Alexandria database.

It has space group R-3m (No. 166, hexagonal axes), with a = 3.0808 Å, b = 3.0808 Å, c = 25.2684 Å, α = 90.00°, β = 90.00° and γ = 120.00°. The inequivalent atoms are Sc at (0.0000, 0.0000, 0.2418), Mn at (0.0000, 0.0000, 0.0000) and Fe at (0.0000, 0.0000, 0.5000).

The value obtained for the energy of formation from the pure elements is 0.284 eV per atom. For the theoretical density, the calculation gives 4.814 g/cm3. For the total magnetic moment, the calculation gives 0.883 μB per atom. For the relative energy among the computed polymorphs, the calculation gives 287 meV per atom. The total energy is -7.290 eV per atom.

First-principles (PBE-GGA) data for a geometry-optimized Sc2MnFe structure, as listed in the Alexandria database.

It has space group R3m (No. 160, hexagonal axes), with a = 3.0778 Å, b = 3.0778 Å, c = 26.2266 Å, α = 90.00°, β = 90.00° and γ = 120.00°. The inequivalent atoms are Sc at (0.0000, 0.0000, 0.0000), Sc at (0.0000, 0.0000, 0.2215), Mn at (0.0000, 0.0000, 0.7476) and Fe at (0.0000, 0.0000, 0.4801).

The value obtained for the energy of formation from the pure elements is 0.330 eV per atom. For the theoretical density, the calculation gives 4.647 g/cm3. For the total magnetic moment, the calculation gives 1.023 μB per atom. For the relative energy among the computed polymorphs, the calculation gives 333 meV per atom. The total energy is -7.244 eV per atom.

First-principles (PBE-GGA) data for a geometry-optimized ScMnFe2 structure, as listed in the Alexandria database.

It has space group I-42d (No. 122), with a = 6.696 Å, b = 6.696 Å, c = 5.088 Å, α = 90.00°, β = 90.00° and γ = 90.00°. The inequivalent atoms are Sc at (0.000, 0.000, 0.000), Mn at (0.000, 0.000, 0.500) and Fe at (0.197, 0.250, 0.625).

The value obtained for the energy of formation from the pure elements is 0.407 eV per atom. For the theoretical density, the calculation gives 6.161 g/cm3. For the total magnetic moment, the calculation gives 0.746 μB per atom. The total energy is -7.700 eV per atom.

First-principles (PBE-GGA) data for a geometry-optimized Sc2MnFe structure, as listed in the Alexandria database.

It has space group F-43m (No. 216), with a = 6.407 Å, b = 6.407 Å, c = 6.407 Å, α = 90.00°, β = 90.00° and γ = 90.00°. The inequivalent atoms are Sc at (0.000, 0.000, 0.000), Sc at (0.250, 0.250, 0.250), Mn at (0.000, 0.000, 0.500) and Fe at (0.250, 0.250, 0.750).

The value obtained for the energy of formation from the pure elements is 0.192 eV per atom. For the theoretical density, the calculation gives 5.069 g/cm3. For the total magnetic moment, the calculation gives 1.060 μB per atom. For the relative energy among the computed polymorphs, the calculation gives 195 meV per atom. The total energy is -7.382 eV per atom.

First-principles (PBE-GGA) data for a geometry-optimized ScMnFe2 structure, as listed in the Alexandria database.

It has space group C2/m (No. 12), with a = 5.192 Å, b = 8.154 Å, c = 2.655 Å, α = 90.00°, β = 107.89° and γ = 90.00°. The inequivalent atoms are Sc at (0.000, 0.000, 0.000), Mn at (0.000, 0.500, 0.000) and Fe at (0.250, 0.250, 0.500).

The value obtained for the energy of formation from the pure elements is 0.210 eV per atom. For the theoretical density, the calculation gives 6.569 g/cm3. For the total magnetic moment, the calculation gives 1.365 μB per atom. The total energy is -7.897 eV per atom.

First-principles (PBE-GGA) data for a geometry-optimized Sc2MnFe structure, as listed in the Alexandria database.

It has space group Amm2 (No. 38), with a = 3.571 Å, b = 4.123 Å, c = 9.484 Å, α = 90.00°, β = 90.00° and γ = 90.00°. The inequivalent atoms are Sc at (0.000, 0.000, 0.000), Sc at (0.500, 0.000, 0.291), Mn at (0.500, 0.000, 0.590) and Fe at (0.000, 0.000, 0.704).

The value obtained for the energy of formation from the pure elements is 0.019 eV per atom. For the theoretical density, the calculation gives 4.773 g/cm3. For the total magnetic moment, the calculation gives 0.000 μB per atom. For the relative energy among the computed polymorphs, the calculation gives 21 meV per atom. The total energy is -7.555 eV per atom.

First-principles (PBE-GGA) data for a geometry-optimized ScMnFe structure, as listed in the Alexandria database.

It has space group Imma (No. 74), with a = 4.784 Å, b = 4.960 Å, c = 7.051 Å, α = 90.00°, β = 90.00° and γ = 90.00°. The inequivalent atoms are Sc at (0.000, 0.250, 0.124), Mn at (0.250, 0.250, 0.750) and Fe at (0.000, 0.000, 0.500).

The value obtained for the energy of formation from the pure elements is -0.180 eV per atom. For the theoretical density, the calculation gives 6.183 g/cm3. For the total magnetic moment, the calculation gives 0.610 μB per atom. For the relative energy among the computed polymorphs, the calculation gives 0 meV per atom. The total energy is -8.168 eV per atom.